This record from Alexandria describes a geometry-optimized Sm3FeHg structure. The functional is PBE.

Cell and atoms, written as POSCAR:
```
Sm3FeHg
1.0
8.691 0.000 0.000
0.000 3.777 0.000
-3.057 0.000 8.241
Sm Fe Hg
6 2 2
Cartesian
-0.217 0.944 1.877 Sm
-0.069 0.944 7.620 Sm
1.058 2.833 4.801 Sm
4.576 0.944 3.440 Sm
5.703 2.833 0.621 Sm
5.851 2.833 6.364 Sm
-1.255 0.944 4.734 Fe
6.889 2.833 3.507 Fe
2.437 2.833 1.851 Hg
3.197 0.944 6.390 Hg
```

Summary:
excess energy over the best structure of this formula in the dataset: 0.000 eV/atom

This record from Alexandria describes a geometry-optimized Sm5Fe2Hg structure. The functional is PBE.

Cell and atoms, written as POSCAR:
```
Sm5Fe2Hg
1.0
-3.853 3.853 7.012
3.853 -3.853 7.012
3.853 3.853 -7.012
Sm Fe Hg
10 4 2
Cartesian
0.000 0.000 0.000 Sm
5.168 1.315 -1.920 Sm
1.315 2.537 -1.920 Sm
5.168 1.315 1.920 Sm
1.315 2.537 1.920 Sm
0.000 0.000 7.012 Sm
2.537 1.315 5.093 Sm
-1.315 2.537 5.093 Sm
2.537 1.315 8.932 Sm
-1.315 2.537 8.932 Sm
3.039 0.813 0.000 Fe
3.039 -0.813 7.012 Fe
0.813 4.666 0.000 Fe
0.813 3.039 7.012 Fe
0.000 0.000 3.506 Hg
0.000 0.000 10.519 Hg
```

This record from Alexandria describes a geometry-optimized Sm3FeHg structure. The functional is PBE.

Cell and atoms, written as POSCAR:
```
Sm3FeHg
1.0
5.199 0.000 0.000
0.000 5.199 0.000
0.000 0.000 5.199
Sm Fe Hg
3 1 1
Cartesian
0.000 0.000 2.600 Sm
0.000 2.600 0.000 Sm
2.600 0.000 0.000 Sm
0.000 0.000 0.000 Fe
2.600 2.600 2.600 Hg
```

Summary:
excess energy over the best structure of this formula in the dataset: 0.158 eV/atom

This record from Alexandria describes a geometry-optimized Sm12FeHg6 structure. The functional is PBE.

Cell and atoms, written as POSCAR:
```
Sm12FeHg6
1.0
6.114 3.530 4.447
-6.114 3.530 4.447
0.000 -7.060 4.447
Sm Fe Hg
12 1 6
Cartesian
-5.447 -1.537 7.292 Sm
-1.392 -5.486 6.049 Sm
-1.365 -1.618 5.173 Sm
-4.055 3.949 6.049 Sm
-0.719 1.991 5.173 Sm
-2.083 0.373 8.169 Sm
2.083 -0.373 5.173 Sm
0.719 -1.991 8.169 Sm
4.055 -3.949 7.292 Sm
1.365 1.618 8.169 Sm
1.392 5.486 7.292 Sm
5.447 1.538 6.049 Sm
0.000 0.000 0.000 Fe
-3.635 0.631 5.491 Hg
-2.364 -2.833 7.850 Hg
1.271 -3.464 5.491 Hg
-1.271 3.464 7.850 Hg
2.364 2.833 5.491 Hg
3.635 -0.631 7.850 Hg
```

This record from Alexandria describes a geometry-optimized Sm12Fe6Hg structure. The functional is PBE.

Cell and atoms, written as POSCAR:
```
Sm12Fe6Hg
1.0
-4.946 4.946 4.946
4.946 -4.946 4.946
4.946 4.946 -4.946
Sm Fe Hg
12 6 1
Cartesian
4.946 3.015 -1.985 Sm
2.961 0.000 1.931 Sm
6.932 0.000 1.931 Sm
1.931 2.961 0.000 Sm
3.015 -1.985 4.946 Sm
0.000 1.931 2.961 Sm
4.946 3.015 1.985 Sm
1.931 6.932 0.000 Sm
3.015 1.985 4.946 Sm
-1.985 4.946 3.015 Sm
1.985 4.946 3.015 Sm
0.000 1.931 6.932 Sm
4.946 1.068 0.000 Fe
4.946 0.000 3.878 Fe
3.878 4.946 0.000 Fe
1.068 0.000 4.946 Fe
0.000 4.946 1.068 Fe
0.000 3.878 4.946 Fe
0.000 0.000 0.000 Hg
```

This record from Alexandria describes a geometry-optimized Sm2FeHg structure. The functional is PBE.

Cell and atoms, written as POSCAR:
```
Sm2FeHg
1.0
3.538 0.000 0.000
0.000 3.538 0.000
0.000 0.000 7.701
Sm Fe Hg
2 1 1
Cartesian
0.000 0.000 1.676 Sm
0.000 0.000 6.025 Sm
1.769 1.769 0.000 Fe
1.769 1.769 3.851 Hg
```

Summary:
excess energy over the best structure of this formula in the dataset: 0.000 eV/atom

This record from Alexandria describes a geometry-optimized Fe2SnHg structure. The functional is PBE.

Cell and atoms, written as POSCAR:
```
Fe2SnHg
1.0
-3.585 3.585 2.858
3.585 -3.585 2.858
3.585 3.585 -2.858
Fe Sn Hg
4 2 2
Cartesian
1.792 1.763 -0.714 Fe
1.822 -1.792 3.572 Fe
1.792 1.822 2.143 Fe
1.763 5.377 0.714 Fe
0.000 0.000 0.000 Sn
0.000 3.585 1.429 Sn
3.585 0.000 1.429 Hg
0.000 0.000 2.858 Hg
```

Summary:
excess energy over the best structure of this formula in the dataset: 0.212 eV/atom

This record from Alexandria describes a geometry-optimized Fe2Sn2Hg structure. The functional is PBE.

Cell and atoms, written as POSCAR:
```
Fe2Sn2Hg
1.0
-1.703 1.703 8.949
1.703 -1.703 8.949
1.703 1.703 -8.949
Fe Sn Hg
2 2 1
Cartesian
1.703 0.000 4.475 Fe
0.000 1.703 4.475 Fe
0.000 0.000 2.349 Sn
0.000 0.000 15.550 Sn
0.000 0.000 8.949 Hg
```

This record from Alexandria describes a geometry-optimized FeSn2Hg2 structure. The functional is PBE.

Cell and atoms, written as POSCAR:
```
FeSn2Hg2
1.0
7.040 0.000 0.000
0.000 7.040 0.000
0.000 0.000 5.299
Fe Sn Hg
2 4 4
Cartesian
0.000 0.000 0.000 Fe
3.520 3.520 0.000 Fe
1.432 2.088 0.000 Sn
2.088 5.608 0.000 Sn
4.952 1.432 0.000 Sn
5.608 4.952 0.000 Sn
1.062 4.582 2.650 Hg
2.458 1.062 2.650 Hg
4.582 5.978 2.650 Hg
5.978 2.458 2.650 Hg
```

This record from Alexandria describes a geometry-optimized FeSnHg3 structure. The functional is PBE.

Cell and atoms, written as POSCAR:
```
FeSnHg3
1.0
5.083 0.000 0.000
0.000 5.083 0.000
0.000 0.000 5.083
Fe Sn Hg
1 1 3
Cartesian
0.000 0.000 0.000 Fe
2.542 2.542 2.542 Sn
0.000 0.000 2.542 Hg
0.000 2.542 0.000 Hg
2.542 0.000 0.000 Hg
```

Summary:
excess energy over the best structure of this formula in the dataset: 0.000 eV/atom

This record from Alexandria describes a geometry-optimized Fe2Sn2Hg structure. The functional is PBE.

Cell and atoms, written as POSCAR:
```
Fe2Sn2Hg
1.0
7.106 0.000 0.000
0.000 7.106 0.000
0.000 0.000 3.615
Fe Sn Hg
4 4 2
Cartesian
0.916 2.637 0.000 Fe
2.637 6.191 0.000 Fe
4.469 0.916 0.000 Fe
6.191 4.469 0.000 Fe
1.153 4.706 1.807 Sn
2.400 1.153 1.807 Sn
4.706 5.953 1.807 Sn
5.953 2.400 1.807 Sn
0.000 0.000 0.000 Hg
3.553 3.553 0.000 Hg
```

This record from Alexandria describes a geometry-optimized FeSn3Hg structure. The functional is PBE.

Cell and atoms, written as POSCAR:
```
FeSn3Hg
1.0
5.017 0.000 0.000
0.000 5.017 0.000
0.000 0.000 5.017
Fe Sn Hg
1 3 1
Cartesian
0.000 0.000 0.000 Fe
0.000 0.000 2.508 Sn
0.000 2.508 0.000 Sn
2.508 0.000 0.000 Sn
2.508 2.508 2.508 Hg
```

Summary:
excess energy over the best structure of this formula in the dataset: 0.000 eV/atom

| no. | energy of formation (eV/atom) |
| --- | --- |
| 1 | -0.15 |
| 2 | -0.08 |
| 3 | 0.01 |
| 4 | -0.20 |
| 5 | 0.00 |
| 6 | -0.12 |
| 7 | 0.64 |
| 8 | 0.25 |
| 9 | 0.35 |
| 10 | 0.46 |
| 11 | 0.25 |
| 12 | 0.12 |